A geometry-optimized Sc2NiHPt structure, computed with PBE.

Values from the calculation:
Total magnetization = 0.00 μB/cell
Electronic total energy = -6.3826 eV/atom
D(E_F) = 0.359 states/eV per atom

Cell: 4.531 4.531 3.412 Å, 90.00 90.00 90.00°
Sites, in units of the cell vectors:
1 Ni 0.000 0.000 0.500
2 Sc 0.000 0.500 0.000
3 Sc 0.500 0.000 0.000
4 H 0.000 0.000 0.000
5 Pt 0.500 0.500 0.500